! GGA-PBE MnIrPbW2, relaxed; values from VASP
! Magnetic moment   0.40 μB/f.u.
! DFT total energy   -6.134 eV per atom
! E_form   3395 meV per atom
! Crystal system   tetragonal
&SYSTEM
  ibrav = 0, nat = 5, ntyp = 4
/
ATOMIC_SPECIES
Pb 207.20 Pb.upf
Mn 54.94 Mn.upf
Ir 192.22 Ir.upf
W 183.84 W.upf
CELL_PARAMETERS angstrom
-0.947 -4.687 1.402
4.176 -1.430 -1.960
2.318 0.827 4.333
ATOMIC_POSITIONS angstrom
Pb 0.000 0.000 0.000
Mn 2.773 -2.645 1.887
Ir 2.088 -0.715 -0.980
W 1.159 0.414 2.167
W -0.474 -2.344 0.701